(1)
CdCoAsIr | GGA-PBE | optimized geometry

a = 6.267 Å, b = 6.267 Å, c = 6.267 Å
α = 90.00°, β = 90.00°, γ = 90.00°
Space group F-43m (No. 216)
Symmetry-distinct sites (fractional):
1 Cd 0.000 0.000 0.000 (multiplicity 4)
2 Co 0.250 0.250 0.750 (multiplicity 4)
3 As 0.000 0.000 0.500 (multiplicity 4)
4 Ir 0.250 0.250 0.250 (multiplicity 4)

* mass density: 11.8 g/cm3
* energy relative to the lowest polymorph listed for this composition: 0.000 eV per atom

(2)
TbMgAuSe2S | GGA-PBE | optimized geometry

a = 3.870 Å, b = 13.097 Å, c = 10.519 Å
α = 90.00°, β = 90.00°, γ = 90.00°
Space group Cmcm (No. 63)
Symmetry-distinct sites (fractional):
1 Tb 0.000 0.000 0.000 (multiplicity 4)
2 Mg 0.000 0.244 0.250 (multiplicity 4)
3 Au 0.000 0.481 0.750 (multiplicity 4)
4 Se 0.000 0.346 0.570 (multiplicity 8)
5 S 0.000 0.112 0.750 (multiplicity 4)

* DFT total energy: -4.4787 eV/atom
* mass density: 7.1 g/cm3

(3)
TmSn | GGA-PBE | optimized geometry

a = 3.5373 Å, b = 3.5373 Å, c = 4.9313 Å
α = 90.00°, β = 90.00°, γ = 120.00°
Space group P-6m2 (No. 187)
Symmetry-distinct sites (fractional):
1 Tm 0.0000 0.0000 0.0000 (multiplicity 1)
2 Sn 0.3333 0.6667 0.5000 (multiplicity 1)

* DFT total energy: -4.6875 eV/atom
* mass density: 8.9 g/cm3

(4)
LiHoTe3Pd | GGA-PBE | optimized geometry

a = 4.187 Å, b = 15.507 Å, c = 10.061 Å
α = 90.00°, β = 90.00°, γ = 90.00°
Space group Cmcm (No. 63)
Symmetry-distinct sites (fractional):
1 Li 0.000 0.228 0.250 (multiplicity 4)
2 Ho 0.000 0.000 0.000 (multiplicity 4)
3 Te 0.000 0.115 0.750 (multiplicity 4)
4 Te 0.000 0.364 0.587 (multiplicity 8)
5 Pd 0.000 0.500 0.250 (multiplicity 4)

* DFT total energy: -4.3870 eV/atom
* mass density: 6.7 g/cm3